The following is a PBE calculation of a relaxed structure of LiAl2Sb, from Alexandria.

Cell lengths 3.104, 3.104, 8.294 Å; angles 90.00, 90.00, 90.00 degrees
Positions (direct):
Li (0.000, 0.000, 0.000)
Al (0.500, 0.500, 0.220)
Al (0.500, 0.500, 0.780)
Sb (0.000, 0.000, 0.500)

Values from the calculation:
The value obtained for the total DFT energy (no corrections) is -3.263 eV per atom. For the magnetic moment, the calculation gives 0.00 μB/cell.


The following is a PBE calculation of a relaxed structure of LiAl2Sb, from Alexandria.

Cell lengths 3.188, 5.464, 4.612 Å; angles 90.00, 90.03, 90.00 degrees
Positions (direct):
Li (0.000, 0.000, 0.000)
Al (0.265, 0.500, 0.248)
Al (0.735, 0.500, 0.752)
Sb (0.500, 0.000, 0.500)

Values from the calculation:
The value obtained for the total DFT energy (no corrections) is -3.424 eV per atom. For the magnetic moment, the calculation gives 0.00 μB/cell.


The following is a PBE calculation of a relaxed structure of LiAl2Sb2, from Alexandria.

Cell lengths 7.739, 7.739, 3.797 Å; angles 90.00, 90.00, 90.00 degrees
Positions (direct):
Li (0.000, 0.000, 0.000)
Li (0.500, 0.500, 0.000)
Al (0.131, 0.369, 0.500)
Al (0.369, 0.869, 0.500)
Al (0.631, 0.131, 0.500)
Al (0.869, 0.631, 0.500)
Sb (0.166, 0.666, 0.000)
Sb (0.334, 0.166, 0.000)
Sb (0.666, 0.834, 0.000)
Sb (0.834, 0.334, 0.000)

Values from the calculation:
The value obtained for the total DFT energy (no corrections) is -3.539 eV per atom. The relative energy among the computed polymorphs comes out at 21 meV/atom. For the magnetic moment, the calculation gives 0.00 μB/cell.


The following is a PBE calculation of a relaxed structure of LiAlSb2, from Alexandria.

Cell lengths 3.942, 3.942, 5.858 Å; angles 90.00, 90.00, 90.00 degrees
Positions (direct):
Li (0.000, 0.000, 0.000)
Al (0.500, 0.500, 0.647)
Sb (0.000, 0.000, 0.506)
Sb (0.500, 0.500, 0.118)

Values from the calculation:
The value obtained for the total DFT energy (no corrections) is -3.521 eV per atom. For the magnetic moment, the calculation gives 0.00 μB/cell.


The following is a PBE calculation of a relaxed structure of LiAlSb2, from Alexandria.

Cell lengths 4.737, 4.737, 3.992 Å; angles 90.00, 90.00, 90.00 degrees
Positions (direct):
Li (0.000, 0.000, 0.000)
Al (0.500, 0.500, 0.000)
Sb (0.000, 0.500, 0.500)
Sb (0.500, 0.000, 0.500)

Values from the calculation:
The value obtained for the total DFT energy (no corrections) is -3.548 eV per atom. For the magnetic moment, the calculation gives 0.00 μB/cell.


The following is a PBE calculation of a relaxed structure of Li2AlSb, from Alexandria.

Cell lengths 3.083, 4.196, 5.883 Å; angles 90.00, 90.18, 90.00 degrees
Positions (direct):
Li (0.003, 0.000, 0.246)
Li (0.997, 0.000, 0.754)
Al (0.500, 0.500, 0.000)
Sb (0.500, 0.500, 0.500)

Values from the calculation:
The value obtained for the total DFT energy (no corrections) is -3.172 eV per atom. For the magnetic moment, the calculation gives 0.00 μB/cell.


The following is a PBE calculation of a relaxed structure of LiAlSb2, from Alexandria.

Cell lengths 6.276, 6.276, 4.249 Å; angles 109.78, 109.78, 36.39 degrees
Positions (direct):
Li (0.000, 0.000, 0.000)
Al (0.733, 0.733, 0.045)
Sb (0.280, 0.280, 0.571)
Sb (0.518, 0.518, 0.508)

Values from the calculation:
The value obtained for the total DFT energy (no corrections) is -3.595 eV per atom. For the magnetic moment, the calculation gives 0.00 μB/cell.


The following is a PBE calculation of a relaxed structure of LiAlSb, from Alexandria.

Cell lengths 4.439, 4.439, 4.439 Å; angles 60.00, 60.00, 60.00 degrees
Positions (direct):
Li (0.000, 0.000, 0.000)
Al (0.250, 0.250, 0.250)
Sb (0.750, 0.750, 0.750)

Values from the calculation:
The value obtained for the total DFT energy (no corrections) is -3.365 eV per atom. For the magnetic moment, the calculation gives 0.00 μB/cell.